Record 1
TbAlP2O8: optimized geometry, PBE.

- space-group type = P-3m1, No. 164
- size of the total moment (μB/f.u.) = 0.0

Geometry as POSCAR:
```
TbAlP2O8
1.0
5.028 0.000 0.000
-2.514 4.355 0.000
0.000 0.000 6.403
Tb Al P O
1 1 2 8
direct
0.000 0.000 0.000
0.000 0.000 0.500
0.333 0.667 0.235
0.667 0.333 0.765
0.165 0.330 0.310
0.165 0.835 0.310
0.330 0.165 0.690
0.333 0.667 0.995
0.667 0.333 0.005
0.670 0.835 0.310
0.835 0.165 0.690
0.835 0.670 0.690
```

---

Record 2
AlTcPO2: optimized geometry, PBE.

- excess energy over the best structure of this formula in the dataset (meV/atom) = 37
- space-group type = P4/mmm, No. 123
- size of the total moment (μB/f.u.) = 2.5

Geometry as POSCAR:
```
AlTcPO2
1.0
3.478 0.000 0.000
0.000 3.478 0.000
0.000 0.000 6.380
Al Tc P O
1 1 1 2
direct
0.000 0.000 0.000
0.500 0.500 0.500
0.000 0.000 0.500
0.000 0.500 0.000
0.500 0.000 0.000
```

---

Record 3
AlTcP2O: optimized geometry, PBE.

- excess energy over the best structure of this formula in the dataset (meV/atom) = 192
- space-group type = P4/mmm, No. 123
- size of the total moment (μB/f.u.) = 2.3

Geometry as POSCAR:
```
AlTcP2O
1.0
4.833 0.000 0.000
0.000 4.833 0.000
0.000 0.000 3.327
Al Tc P O
1 1 2 1
direct
0.000 0.000 0.000
0.500 0.500 0.500
0.000 0.500 0.000
0.500 0.000 0.000
0.000 0.000 0.500
```

---

Record 4
AlTcPO2: optimized geometry, PBE.

- excess energy over the best structure of this formula in the dataset (meV/atom) = 0
- space-group type = P4/mmm, No. 123
- size of the total moment (μB/f.u.) = 0.0

Geometry as POSCAR:
```
AlTcPO2
1.0
3.744 0.000 0.000
0.000 3.744 0.000
0.000 0.000 5.369
Al Tc P O
1 1 1 2
direct
0.000 0.000 0.000
0.500 0.500 0.500
0.500 0.500 0.000
0.000 0.500 0.500
0.500 0.000 0.500
```

---

Respective formation energy from raw total energies values: -2.74 -0.66 0.13 -0.70 eV/atom.